# 1
20
Lattice="5.918 0.000 -0.001 0.000 6.108 0.000 0.050 0.000 8.516" Properties=species:S:1:pos:R:3 comment="NbBiPb2O6, optimized geometry, DFT GGA-PBE" formation_energy_uncorrected_mev_per_atom=-1641 pbc="T T T"
O 1.674 4.147 0.380
O 1.955 4.409 3.821
O 1.310 1.093 3.878
Pb 0.052 5.890 2.151
O 4.014 1.699 4.693
O 1.030 1.355 0.436
Bi 2.959 0.000 -0.001
Bi 0.025 3.054 4.258
Nb 2.984 0.000 4.257
Nb 0.000 3.054 0.000
O 4.939 4.754 8.079
Pb 5.916 0.219 6.364
O 4.294 1.961 8.135
O 3.547 0.193 2.304
O 2.421 5.915 6.211
O 4.658 5.015 4.637
O 5.355 3.247 1.952
Pb 2.932 2.836 2.106
Pb 3.037 3.273 6.408
O 0.613 2.861 6.563

# 2
18
Lattice="11.360 3.228 6.100 5.981 6.353 3.209 4.858 1.767 7.727" Properties=species:S:1:pos:R:3 comment="CoIr6Rh2, optimized geometry, DFT GGA-PBE" e_form_ev_per_atom=0.347 pbc="T T T"
Ir 8.029 3.970 6.018
Ir 14.747 5.026 12.016
Rh 17.027 8.249 12.421
Ir 12.359 4.783 11.176
Ir 13.708 5.578 9.074
Co 14.295 7.935 8.610
Ir 8.491 5.771 7.961
Rh 5.172 3.100 4.614
Rh 11.303 6.458 9.545
Rh 10.895 4.891 7.490
Ir 16.253 8.838 9.932
Co 7.903 3.414 8.425
Ir 12.357 7.111 7.211
Ir 14.170 7.379 11.017
Ir 9.839 6.566 5.859
Ir 5.946 2.511 7.103
Ir 9.841 4.238 9.824
Ir 7.452 6.323 5.019

# 3
4
Lattice="-3.072 3.263 0.309 -4.012 -0.858 1.830 -1.052 1.722 4.013" Properties=species:S:1:pos:R:3 comment="LiZrGaPt, optimized geometry, DFT GGA-PBE" e_form_ev_per_atom=-0.841 pbc="T T T"
Li -2.034 1.032 1.538
Zr 0.000 0.000 0.000
Pt -6.102 3.095 4.614
Ga -4.068 2.064 3.076

# 4
3
Lattice="-1.500 -3.121 -0.618 0.285 -1.488 -3.174 5.812 -1.406 3.159" Properties=species:S:1:pos:R:3 comment="Ce2C, optimized geometry, DFT GGA-PBE" e_form_ev_per_atom=-0.132 pbc="T T T"
C -0.607 -2.305 -1.896
Ce 0.996 -1.426 -0.216
Ce 3.601 -4.589 -0.418

# 5
6
Lattice="-0.011 2.954 2.878 -1.315 -0.844 3.816 10.650 -2.308 5.364" Properties=species:S:1:pos:R:3 comment="ErCuI, optimized geometry, DFT GGA-PBE" formation_energy_uncorrected_mev_per_atom=-771 pbc="T T T"
Cu -0.104 1.171 1.752
I 3.507 0.184 2.779
I 6.936 -0.148 6.087
Er 0.694 -0.833 3.813
Er 8.002 -2.225 8.223
Cu -0.546 1.876 3.982

# 6
19
Lattice="5.735 0.000 0.000 -2.867 5.887 -1.663 0.000 -0.194 7.397" Properties=species:S:1:pos:R:3 comment="Pa5Si2N12, optimized geometry, DFT GGA-PBE" formation_energy_uncorrected_mev_per_atom=-1176 pbc="T T T"
N 1.464 1.897 0.085
N 4.329 1.696 3.742
N -1.403 3.796 5.649
N 1.406 1.696 3.742
Pa 0.000 3.639 0.140
Pa 2.867 2.054 5.594
N 1.403 3.796 5.649
N 0.000 -0.147 6.105
N 2.867 5.840 -0.371
Pa 0.000 3.596 3.780
N 0.000 5.831 -0.392
Pa 2.867 2.097 1.954
Pa 0.000 -0.097 3.698
Si 1.379 0.000 0.000
Si 4.356 0.000 0.000
N 4.270 1.897 0.085
N 2.867 -0.139 6.126
N 1.462 3.997 1.992
N -1.462 3.997 1.992

# 7
12
Lattice="8.198 -0.002 0.000 -4.099 7.100 0.000 -1.367 -2.367 7.795" Properties=species:S:1:pos:R:3 comment="Sr3LaTh2Bi6, optimized geometry, DFT GGA-PBE" e_form_ev_per_atom=-0.812 pbc="T T T"
Sr 5.490 -0.017 3.898
Bi 4.121 2.324 5.975
Th 4.103 2.363 0.000
Bi -0.047 4.730 5.975
Sr 1.366 2.365 3.898
Bi 2.709 4.691 1.814
Bi -1.389 2.406 1.821
Sr -2.758 4.747 3.898
La 0.000 0.000 0.000
Bi 0.023 0.040 5.981
Th -0.004 4.735 0.000
Bi 2.778 0.000 1.821

# 8
4
Lattice="7.416 -0.013 -0.007 6.846 2.851 -0.007 6.846 1.363 2.505" Properties=species:S:1:pos:R:3 comment="CrP2W, optimized geometry, DFT GGA-PBE" e_above_lowest_polymorph_mev_per_atom=474 e_form_ev_per_atom=0.025 pbc="T T T"
P 10.436 2.077 1.231
Cr 15.832 3.151 1.867
W 5.277 1.050 0.622
P 0.118 0.024 0.014

# 9
8
Lattice="-0.217 3.307 -1.469 -7.153 -0.463 -4.457 -5.583 3.852 5.024" Properties=species:S:1:pos:R:3 comment="Tb5PrCd2, optimized geometry, DFT GGA-PBE" e_form_ev_per_atom=-0.085 pbc="T T T"
Tb -6.368 1.694 0.284
Tb -5.130 2.372 -2.847
Tb -4.428 4.302 1.393
Cd -9.845 5.023 -0.655
Cd -3.109 1.673 -0.247
Tb -7.823 4.324 1.945
Pr 0.000 0.000 0.000
Tb -8.526 2.394 -2.295

# 10
5
Lattice="4.436 0.000 0.000 0.000 4.436 0.000 0.000 0.000 6.799" Properties=species:S:1:pos:R:3 comment="VInIr2Cl, optimized geometry, DFT GGA-PBE" formation_energy_uncorrected_mev_per_atom=1025 pbc="T T T"
Ir 0.000 2.218 0.000
In 0.000 0.000 3.400
V 0.000 0.000 0.000
Ir 2.218 0.000 0.000
Cl 2.218 2.218 3.400

# 11
4
Lattice="-0.135 6.568 0.497 -1.653 -4.173 4.823 3.195 -0.016 1.081" Properties=species:S:1:pos:R:3 comment="BaZr2Br, optimized geometry, DFT GGA-PBE" formation_energy_uncorrected_mev_per_atom=449 e_above_lowest_polymorph_mev_per_atom=637 pbc="T T T"
Zr -0.894 1.198 2.660
Zr 0.000 0.000 0.000
Br 0.771 -2.094 2.952
Ba 1.530 3.276 0.789

# 12
4
Lattice="3.876 0.000 0.000 0.000 3.876 0.000 0.000 0.000 10.192" Properties=species:S:1:pos:R:3 comment="Ac2PmHo, optimized geometry, DFT GGA-PBE" e_above_lowest_polymorph_mev_per_atom=8 e_form_ev_per_atom=0.046 pbc="T T T"
Ac 0.000 0.000 2.501
Pm 1.938 1.938 5.096
Ho 1.938 1.938 0.000
Ac 0.000 0.000 7.691

# 13
10
Lattice="-2.870 2.581 -2.249 -3.380 -2.600 1.330 -1.217 5.760 8.164" Properties=species:S:1:pos:R:3 comment="Pm2Ni4Sn3Sb, optimized geometry, DFT GGA-PBE" formation_energy_uncorrected_mev_per_atom=-535 pbc="T T T"
Ni -2.147 0.863 3.731
Pm -1.725 2.661 0.819
Ni 0.000 0.000 0.000
Sn -1.843 -0.577 1.690
Pm -2.617 3.089 6.886
Sn -2.499 6.327 6.015
Sb -3.734 2.870 3.623
Ni -3.125 -0.010 -0.459
Sn -0.609 2.880 4.082
Ni -2.195 4.887 3.973

# 14
14
Lattice="8.972 0.000 0.000 -4.486 7.770 0.000 0.000 0.000 4.454" Properties=species:S:1:pos:R:3 comment="KMo3S3, optimized geometry, DFT GGA-PBE" formation_energy_uncorrected_mev_per_atom=-805 e_above_lowest_polymorph_mev_per_atom=0 pbc="T T T"
S 7.126 2.218 3.341
S -2.641 5.552 1.114
Mo 0.541 1.445 3.341
K 4.486 2.590 1.114
Mo 1.521 0.254 1.114
S 0.998 2.707 1.114
Mo 3.945 6.325 1.114
K 0.000 5.180 3.341
Mo 7.991 1.191 1.114
S 3.488 5.063 3.341
S 2.843 0.489 3.341
Mo -3.505 6.579 3.341
Mo 2.964 7.516 3.341
S 1.643 7.280 1.114

# 15
8
Lattice="-2.666 3.264 0.041 -5.153 -4.247 3.013 4.008 3.204 5.550" Properties=species:S:1:pos:R:3 comment="Th4GaTcSe2, optimized geometry, DFT GGA-PBE" formation_energy_uncorrected_mev_per_atom=-871 pbc="T T T"
Th 1.875 1.469 4.999
Tc 0.000 0.000 0.000
Se -0.572 -0.521 4.281
Se 0.671 3.234 2.796
Th -3.020 -2.511 3.564
Ga -3.909 -0.492 1.527
Th -2.185 0.853 6.655
Th -1.625 1.369 1.948

# 16
8
Lattice="4.770 0.000 0.000 2.385 4.131 0.000 2.385 1.377 8.577" Properties=species:S:1:pos:R:3 comment="NdMgSc2Au4, optimized geometry, DFT GGA-PBE" e_form_ev_per_atom=-0.740 pbc="T T T"
Mg 4.770 2.754 4.288
Au 7.155 4.131 3.233
Sc 7.155 4.131 6.187
Nd 0.000 0.000 0.000
Sc 2.385 1.377 2.390
Au 2.385 1.377 5.344
Au 4.770 2.754 1.530
Au 4.770 2.754 7.047

# 17
6
Lattice="3.479 0.000 0.000 -1.739 2.970 -0.098 0.000 -1.142 13.411" Properties=species:S:1:pos:R:3 comment="PmBTe, optimized geometry, DFT GGA-PBE" formation_energy_uncorrected_mev_per_atom=-491 pbc="T T T"
B 0.000 0.846 13.335
Te 0.000 0.869 8.808
Te 1.739 0.959 4.506
Pm 0.000 0.069 1.919
B 1.739 0.983 -0.021
Pm 1.739 1.760 11.395

# 18
5
Lattice="5.215 0.000 0.000 0.000 5.758 0.000 0.000 0.000 5.215" Properties=species:S:1:pos:R:3 comment="NaVWBr2, optimized geometry, DFT GGA-PBE" formation_energy_uncorrected_mev_per_atom=1571 pbc="T T T"
V 2.607 2.879 2.607
Br 0.000 0.000 2.607
Br 2.607 0.000 0.000
W 0.000 2.879 0.000
Na 0.000 0.000 0.000

# 19
16
Lattice="-0.512 0.865 4.921 6.833 -1.753 1.019 3.796 13.632 -2.001" Properties=species:S:1:pos:R:3 comment="Dy2ErTh5, optimized geometry, DFT GGA-PBE" e_above_lowest_polymorph_mev_per_atom=0 e_form_ev_per_atom=0.054 pbc="T T T"
Er 1.898 6.816 -1.001
Dy 3.821 8.516 1.464
Th 6.256 9.349 -0.993
Th 5.314 5.939 -0.491
Er 3.416 -0.876 0.509
Th 0.000 0.000 0.000
Dy 1.930 1.698 2.465
Dy 8.186 11.045 1.473
Th 4.738 11.903 0.964
Th 7.220 7.671 1.966
Th 5.378 0.840 2.975
Th 9.672 8.473 -0.483
Th 0.956 3.406 -0.499
Dy 6.295 4.228 2.475
Th 2.897 5.073 1.973
Th 4.373 2.530 0.010

# 20
4
Lattice="3.607 0.000 0.000 0.000 3.607 0.000 0.000 0.000 9.038" Properties=species:S:1:pos:R:3 comment="PmYTmCd, optimized geometry, DFT GGA-PBE" e_above_lowest_polymorph_mev_per_atom=0 e_form_ev_per_atom=-0.156 pbc="T T T"
Tm 1.803 1.803 3.165
Y 1.803 1.803 7.163
Pm 0.000 0.000 0.680
Cd 0.000 0.000 5.121